VASP calculation (GGA-PBEsol) on Mn20W3C6 after structural relaxation.

Summary:
Density ... 10.2 g/cm³

extended XYZ file:
```
29
Lattice="-6.7561 1.0993 -2.6591 -2.6155 -4.3616 -5.2972 -5.3606 -4.7893 1.5004" Properties=species:S:1:pos:R:3 pbc="T T T"
Mn -2.3138 0.3765 -0.9107
Mn -6.8731 -5.1105 -4.9289
Mn -1.7198 -2.8678 -3.4830
Mn -3.5247 -3.1491 0.9865
Mn -1.8359 -1.6402 0.5138
Mn -8.7853 -2.5886 -3.7106
Mn -7.8591 -2.9412 -1.5271
Mn -6.2782 -0.9174 -1.2346
Mn -5.6653 -3.0963 -2.4826
Mn -0.8958 -1.4937 -1.8142
Mn -3.5557 -4.5081 -2.9692
Mn -6.5914 -2.7437 -4.6662
Mn -5.9470 -5.4630 -2.7453
Mn -8.1408 -5.3080 -1.7897
Mn -4.4423 0.7228 -1.7484
Mn -4.4205 -4.6428 -0.8276
Mn -5.3381 -0.7710 -3.5626
Mn -5.8385 -2.7726 0.0758
Mn -9.0670 -4.9554 -3.9733
Mn -4.0336 -2.4914 -4.3937
C -8.2735 -3.6804 -5.3671
C -7.6421 -6.3445 -3.4853
C -5.2169 -4.1777 -4.1641
C -9.5154 -3.8739 -2.2918
C -7.0901 -1.7071 -2.9706
C -6.4588 -4.3712 -1.0888
W -11.0492 -6.0387 -4.8419
W -3.6831 -2.0129 -1.6140
W 0.0000 0.0000 0.0000
```


VASP calculation (GGA-PBEsol) on BeIrC3 after structural relaxation.

Summary:
Density ... 6.4 g/cm³

extended XYZ file:
```
5
Lattice="-0.8273 2.9317 -2.5071 -2.4814 -2.3676 -1.9498 -2.9535 1.1680 2.3404" Properties=species:S:1:pos:R:3 pbc="T T T"
C -0.4137 1.4659 -1.2535
C -1.4767 0.5840 1.1702
C -1.2407 -1.1838 -0.9749
Ir 0.0000 0.0000 0.0000
Be -3.1311 0.8660 -1.0582
```


VASP calculation (GGA-PBEsol) on SrCo2P after structural relaxation.

Summary:
Density ... 6.8 g/cm³

extended XYZ file:
```
4
Lattice="2.8297 0.0000 0.0000 0.0000 2.8297 0.0000 0.0000 0.0000 7.1874" Properties=species:S:1:pos:R:3 pbc="T T T"
Co 0.0000 0.0000 1.2081
Co 0.0000 0.0000 5.9793
Sr 1.4148 1.4148 3.5937
P 1.4148 1.4148 0.0000
```


VASP calculation (GGA-PBEsol) on TlZnCr2 after structural relaxation.

Summary:
Density ... 9.8 g/cm³

extended XYZ file:
```
4
Lattice="2.9155 0.0000 0.0000 1.4577 2.5249 0.0000 1.4577 0.8416 8.6294" Properties=species:S:1:pos:R:3 pbc="T T T"
Cr 4.3732 2.5249 6.9213
Cr 1.4577 0.8416 8.3813
Tl 2.9155 1.6833 4.4461
Zn 1.4577 0.8416 1.8249
```


VASP calculation (GGA-PBEsol) on Ti3NiS6 after structural relaxation.

Summary:
Density ... 4.1 g/cm³
Uncorrected formation energy ... -1.285 eV/atom

extended XYZ file:
```
20
Lattice="-3.6235 -4.3384 1.1119 5.2581 0.0363 2.3533 -3.9684 5.5649 8.7807" Properties=species:S:1:pos:R:3 pbc="T T T"
S 2.0455 2.0708 4.8141
S 0.5778 -2.1398 3.4657
S -3.7033 2.0672 5.9152
S -3.5593 0.5277 10.3095
S -4.3792 -0.8080 7.4319
S -0.9142 0.6267 4.3917
S -2.9116 3.4026 8.7802
S 1.3696 -0.8044 6.3308
S -5.8625 1.9354 8.3764
S 3.5288 -0.6726 3.8695
S 1.2255 0.7351 1.9364
S -1.4195 0.6361 7.8543
Ni -3.6392 1.2935 8.1112
Ni 1.3055 -0.0307 4.1347
Ti -1.6535 4.1187 10.6820
Ti -2.6299 -0.1219 5.8778
Ti 0.2961 1.3847 6.3681
Ti 0.0000 0.0000 0.0000
Ti -1.9842 2.7824 4.3904
Ti -0.6802 -2.8559 1.5639
```


VASP calculation (GGA-PBEsol) on Sc2InPb after structural relaxation.

Summary:
Density ... 7.6 g/cm³

extended XYZ file:
```
4
Lattice="3.2680 0.0000 0.0000 0.0000 4.2348 0.0000 0.0000 0.0000 6.4844" Properties=species:S:1:pos:R:3 pbc="T T T"
Pb 1.6340 2.1174 3.2422
In 1.6340 2.1174 0.0000
Sc 0.0000 0.0000 4.9036
Sc 0.0000 0.0000 1.5808
```


VASP calculation (GGA-PBEsol) on Li2SnGe after structural relaxation.

Summary:
Density ... 4.9 g/cm³

extended XYZ file:
```
4
Lattice="4.6181 0.0000 0.0000 2.3090 3.9994 0.0000 2.3090 1.3331 3.7706" Properties=species:S:1:pos:R:3 pbc="T T T"
Li 6.9271 3.9994 2.8280
Li 2.3090 1.3331 0.9427
Sn 4.6181 2.6662 1.8853
Ge 0.0000 0.0000 0.0000
```


VASP calculation (GGA-PBEsol) on ZnWF3 after structural relaxation.

Summary:
Density ... 6.9 g/cm³
Uncorrected formation energy ... -1.011 eV/atom

extended XYZ file:
```
5
Lattice="-0.9092 -2.8294 2.9493 0.8988 -3.0859 -2.6834 3.9870 0.0504 1.2775" Properties=species:S:1:pos:R:3 pbc="T T T"
W 0.0000 0.0000 0.0000
Zn 1.9883 -2.9325 0.7717
F 0.4494 -1.5429 -1.3417
F 1.9935 0.0252 0.6387
F -0.4546 -1.4147 1.4747
```


Respective spin magnetization values: 12.5; 0.0; 0.0; 0.0; 0.0; 0.8; 0.0; 2.9 μB per formula unit.
Respective energy values: -297.69; -30.48; -22.71; -22.65; -140.56; -21.90; -14.24; -26.23 eV/cell.